# Al2HIrRu (PBE-GGA, optimized geometry)
data_Al2HIrRu
_cell_length_a 4.231
_cell_length_b 4.231
_cell_length_c 3.245
_cell_angle_alpha 90.00
_cell_angle_beta 90.00
_cell_angle_gamma 90.00
_space_group_name_H-M_alt 'P 1'
_space_group_IT_number 1
loop_
_space_group_symop_operation_xyz
'x,y,z'
loop_
_atom_site_label
_atom_site_type_symbol
_atom_site_fract_x
_atom_site_fract_y
_atom_site_fract_z
Ru1 Ru 0.000 0.000 0.500
Ir1 Ir 0.500 0.500 0.500
Al1 Al 0.000 0.500 0.000
Al2 Al 0.500 0.000 0.000
H1 H 0.000 0.000 0.000
# Crystal system = tetragonal
# ρ = 9.95 g/cm3
# Final energy = -6.31 eV per atom